# 1
Below is a relaxed structure of CrAg4Os, with properties calculated at the PBE level.

Computed properties:
Theoretical density: 10.5 g/cm3
E_form: 0.8560 eV per atom
Spin magnetization: 2.52 μB per formula unit

a b c (Å): 7.527 7.527 7.527
angles (deg): 90.00 90.00 90.00
Space group F-43m (No. 216)
Unique sites:
Cr (0.000, 0.000, 0.000)
Ag (0.125, 0.125, 0.625)
Os (0.250, 0.250, 0.250)


# 2
Below is a relaxed structure of PrEuDyMg, with properties calculated at the PBE level.

Computed properties:
Theoretical density: 6.2 g/cm3
E_form: 0.0616 eV per atom
Spin magnetization: 7.15 μB per formula unit

a b c (Å): 8.016 8.016 8.016
angles (deg): 90.00 90.00 90.00
Space group F-43m (No. 216)
Unique sites:
Pr (0.000, 0.000, 0.000)
Eu (0.250, 0.250, 0.750)
Dy (0.000, 0.000, 0.500)
Mg (0.250, 0.250, 0.250)


# 3
Below is a relaxed structure of YBe2P, with properties calculated at the PBE level.

Computed properties:
Theoretical density: 3.6 g/cm3
E_form: 0.2252 eV per atom
Spin magnetization: 0.00 μB per formula unit

a b c (Å): 6.317 6.317 6.317
angles (deg): 90.00 90.00 90.00
Space group F-43m (No. 216)
Unique sites:
Y (0.000, 0.000, 0.000)
Be (0.000, 0.000, 0.500)
Be (0.250, 0.250, 0.250)
P (0.250, 0.250, 0.750)


# 4
Below is a relaxed structure of CuPd2Se, with properties calculated at the PBE level.

Computed properties:
Theoretical density: 9.6 g/cm3
Spin magnetization: 0.00 μB per formula unit

a b c (Å): 3.119 3.119 6.309
angles (deg): 90.00 90.00 90.00
Space group P4/mmm (No. 123)
Unique sites:
Cu (0.000, 0.000, 0.000)
Pd (0.500, 0.500, 0.239)
Se (0.000, 0.000, 0.500)


# 5
Below is a relaxed structure of YSiMoPd2, with properties calculated at the PBE level.

Computed properties:
Theoretical density: 5.5 g/cm3
Spin magnetization: 2.81 μB per formula unit

a b c (Å): 4.931 4.931 5.255
angles (deg): 90.00 90.00 90.00
Space group P4/mmm (No. 123)
Unique sites:
Y (0.000, 0.000, 0.000)
Si (0.500, 0.500, 0.500)
Mo (0.000, 0.000, 0.500)
Pd (0.000, 0.500, 0.000)


# 6
Below is a relaxed structure of Ti5NbSn2, with properties calculated at the PBE level.

Computed properties:
Theoretical density: 6.5 g/cm3
E above lowest polymorph: 17.3 meV per atom
E_form: -0.2531 eV per atom
Spin magnetization: 0.00 μB per formula unit

a b c (Å): 4.875 4.875 12.276
angles (deg): 90.00 90.00 90.00
Space group I4/mmm (No. 139)
Unique sites:
Ti (0.000, 0.000, 0.000)
Ti (0.000, 0.500, 0.117)
Nb (0.000, 0.000, 0.500)
Sn (0.000, 0.000, 0.249)


# 7
Below is a relaxed structure of La2TaBr2, with properties calculated at the PBE level.

Computed properties:
Theoretical density: 7.8 g/cm3
E above lowest polymorph: 0.0 meV per atom
Spin magnetization: 0.00 μB per formula unit

a b c (Å): 8.598 8.598 3.573
angles (deg): 90.00 90.00 90.00
Space group P4/mbm (No. 127)
Unique sites:
La (0.176, 0.324, 0.000)
Ta (0.000, 0.000, 0.500)
Br (0.128, 0.628, 0.500)


# 8
Below is a relaxed structure of Sr3HoCu2O6, with properties calculated at the PBE level.

Computed properties:
Theoretical density: 5.3 g/cm3
Spin magnetization: 1.04 μB per formula unit

a b c (Å): 6.0473 6.0473 6.4558
angles (deg): 90.00 90.00 120.00
Space group P-3m1 (No. 164)
Unique sites:
Sr (0.0000, 0.0000, 0.0000)
Sr (0.3333, 0.6667, 0.6306)
Ho (0.0000, 0.0000, 0.5000)
Cu (0.3333, 0.6667, 0.1757)
O (0.1665, 0.3329, 0.2921)


# 9
Below is a relaxed structure of CaEuY2, with properties calculated at the PBE level.

Computed properties:
Theoretical density: 4.3 g/cm3
E above lowest polymorph: 10.9 meV per atom
E_form: 0.1635 eV per atom
Spin magnetization: 7.42 μB per formula unit

a b c (Å): 8.302 8.302 8.302
angles (deg): 90.00 90.00 90.00
Space group Fm-3m (No. 225)
Unique sites:
Ca (0.000, 0.000, 0.000)
Eu (0.000, 0.000, 0.500)
Y (0.250, 0.250, 0.250)


# 10
Below is a relaxed structure of ScAsW2, with properties calculated at the PBE level.

Computed properties:
Theoretical density: 11.9 g/cm3
E_form: 0.1058 eV per atom
Spin magnetization: 0.00 μB per formula unit

a b c (Å): 9.592 3.477 4.540
angles (deg): 90.00 116.22 90.00
Space group Cm (No. 8)
Unique sites:
Sc (0.000, 0.000, 0.000)
As (0.238, 0.000, 0.736)
W (0.264, 0.500, 0.260)
W (0.492, 0.000, 0.497)


# 11
Below is a relaxed structure of AsP5, with properties calculated at the PBE level.

Computed properties:
Theoretical density: 3.8 g/cm3
E above lowest polymorph: 847.1 meV per atom
E_form: 0.9039 eV per atom
Spin magnetization: 0.00 μB per formula unit

a b c (Å): 7.366 7.366 7.366
angles (deg): 90.00 90.00 90.00
Space group F-43m (No. 216)
Unique sites:
As (0.000, 0.000, 0.000)
P (0.112, 0.112, 0.612)
P (0.250, 0.250, 0.250)


# 12
Below is a relaxed structure of CeTlS4, with properties calculated at the PBE level.

Computed properties:
Theoretical density: 5.2 g/cm3
Spin magnetization: 0.00 μB per formula unit

a b c (Å): 9.098 7.496 8.915
angles (deg): 90.00 90.00 90.00
Space group Cmcm (No. 63)
Unique sites:
Ce (0.000, 0.074, 0.250)
Tl (0.000, 0.451, 0.750)
S (0.000, 0.205, 0.543)
S (0.224, 0.351, 0.250)


# 13
Below is a relaxed structure of CaHoCd4, with properties calculated at the PBE level.

Computed properties:
Theoretical density: 7.3 g/cm3
E above lowest polymorph: 69.3 meV per atom
E_form: -0.2554 eV per atom
Spin magnetization: 0.00 μB per formula unit

a b c (Å): 8.408 8.408 8.408
angles (deg): 90.00 90.00 90.00
Space group F-43m (No. 216)
Unique sites:
Ca (0.000, 0.000, 0.000)
Ho (0.250, 0.250, 0.250)
Cd (0.125, 0.125, 0.625)


# 14
Below is a relaxed structure of Ba3FeS4Br, with properties calculated at the PBE level.

Computed properties:
Theoretical density: 4.3 g/cm3
Spin magnetization: 5.00 μB per formula unit

a b c (Å): 12.536 9.671 8.600
angles (deg): 90.00 90.00 90.00
Space group Pnma (No. 62)
Unique sites:
Ba (0.025, 0.250, 0.080)
Ba (0.163, 0.022, 0.589)
Fe (0.106, 0.750, 0.313)
S (0.009, 0.750, 0.536)
S (0.072, 0.551, 0.190)
S (0.217, 0.250, 0.862)
Br (0.232, 0.750, 0.830)


# 15
Below is a relaxed structure of LaMgCu17, with properties calculated at the PBE level.

Computed properties:
Theoretical density: 7.8 g/cm3
E_form: -0.0436 eV per atom
Spin magnetization: 0.00 μB per formula unit

a b c (Å): 8.5495 8.5495 12.5007
angles (deg): 90.00 90.00 120.00
Space group R3m (No. 160, hexagonal axes)
Unique sites:
La (0.0000, 0.0000, 0.0000)
Mg (0.0000, 0.0000, 0.6809)
Cu (0.0000, 0.0000, 0.2499)
Cu (0.0000, 0.0000, 0.4447)
Cu (0.0021, 0.5011, 0.8410)
Cu (0.0042, 0.2990, 0.3420)
Cu (0.0055, 0.5028, 0.4957)
Cu (0.0090, 0.5045, 0.1883)


# 16
Below is a relaxed structure of HgPb2, with properties calculated at the PBE level.

Computed properties:
Theoretical density: 11.4 g/cm3
E above lowest polymorph: 32.8 meV per atom
E_form: 0.0455 eV per atom
Spin magnetization: 0.00 μB per formula unit

a b c (Å): 8.2780 8.2780 4.5405
angles (deg): 90.00 90.00 120.00
Space group P-62m (No. 189)
Unique sites:
Hg (0.0000, 0.0000, 0.0000)
Hg (0.3333, 0.6667, 0.5000)
Pb (0.0000, 0.2619, 0.5000)
Pb (0.0000, 0.5993, 0.0000)


# 17
Below is a relaxed structure of KTl2TeS, with properties calculated at the PBE level.

Computed properties:
Theoretical density: 5.0 g/cm3
Spin magnetization: 0.00 μB per formula unit

a b c (Å): 5.520 5.520 6.579
angles (deg): 90.00 90.00 90.00
Space group P4mm (No. 99)
Unique sites:
K (0.000, 0.000, 0.000)
Tl (0.000, 0.500, 0.417)
Te (0.500, 0.500, 0.141)
S (0.000, 0.000, 0.528)


# 18
Below is a relaxed structure of AcSCl3, with properties calculated at the PBE level.

Computed properties:
Theoretical density: 3.1 g/cm3
Spin magnetization: 1.00 μB per formula unit

a b c (Å): 7.402 8.068 13.774
angles (deg): 90.00 108.48 90.00
Space group P2/c (No. 13)
Unique sites:
Ac (0.002, 0.250, 0.082)
S (0.113, 0.248, 0.808)
Cl (0.249, 0.250, 0.294)
Cl (0.250, 0.008, 0.551)
Cl (0.250, 0.491, 0.552)


# 19
Below is a relaxed structure of Ac2CeThAs4, with properties calculated at the PBE level.

Computed properties:
Theoretical density: 7.8 g/cm3
E_form: -1.4471 eV per atom
Spin magnetization: 0.83 μB per formula unit

a b c (Å): 7.588 4.382 7.634
angles (deg): 90.00 109.35 90.00
Space group P2/m (No. 10)
Unique sites:
Ac (0.000, 0.000, 0.000)
Ac (0.500, 0.500, 0.000)
Ce (0.000, 0.500, 0.500)
Th (0.500, 0.000, 0.500)
As (0.244, 0.000, 0.730)
As (0.257, 0.500, 0.270)


# 20
Below is a relaxed structure of Sb2SeBr, with properties calculated at the PBE level.

Computed properties:
Theoretical density: 5.8 g/cm3
E above lowest polymorph: 174.6 meV per atom
Spin magnetization: 0.00 μB per formula unit

a b c (Å): 7.620 9.046 3.319
angles (deg): 90.00 90.42 90.00
Space group C2/m (No. 12)
Unique sites:
Sb (0.250, 0.250, 0.000)
Se (0.000, 0.000, 0.000)
Br (0.000, 0.500, 0.000)


| no. | total energy (hartree per atom) |
| --- | --- |
| 1 | -0.16612 |
| 2 | -0.19297 |
| 3 | -0.16928 |
| 4 | -0.16768 |
| 5 | -0.18613 |
| 6 | -0.27367 |
| 7 | -0.19456 |
| 8 | -0.21918 |
| 9 | -0.22555 |
| 10 | -0.33501 |
| 11 | -0.16093 |
| 12 | -0.17543 |
| 13 | -0.07210 |
| 14 | -0.19312 |
| 15 | -0.14890 |
| 16 | -0.09288 |
| 17 | -0.11259 |
| 18 | -0.16702 |
| 19 | -0.23770 |
| 20 | -0.12184 |